No. 1
TaAs3 SCAN PBEsol geometry; magnetization = 0.00 μB per cell; mass density = 9.6 g/cm3; uncorrected energy = -31.260 eV per atom; SG = Pm-3m, No. 221; formation energy = 0.528 eV/atom
1.0
4.120 0.000 0.000
0.000 4.120 0.000
0.000 0.000 4.120
Ta As
1 3
Cartesian
0.000 0.000 0.000 Ta
0.000 2.060 2.060 As
2.060 0.000 2.060 As
2.060 2.060 0.000 As

No. 2
Ta5As4 SCAN PBEsol geometry; magnetization = 0.00 μB per cell; mass density = 12.3 g/cm3; uncorrected energy = -46.521 eV per atom; SG = I4/m, No. 87; formation energy = -0.557 eV/atom
1.0
-4.894 4.894 1.693
4.894 -4.894 1.693
4.894 4.894 -1.693
Ta As
5 4
Cartesian
0.000 0.000 0.000 Ta
3.604 2.993 0.000 Ta
1.901 -1.290 1.693 Ta
2.993 6.184 0.000 Ta
1.290 1.901 1.693 Ta
2.810 0.506 0.000 As
4.389 -2.084 1.693 As
0.506 6.978 0.000 As
2.084 4.389 1.693 As

No. 3
Ta3As SCAN PBEsol geometry; magnetization = 0.00 μB per cell; mass density = 15.2 g/cm3; uncorrected energy = -55.349 eV per atom; SG = C2/c, No. 15; formation energy = -0.364 eV/atom
1.0
7.318 -2.542 0.000
7.318 2.542 0.000
-0.169 0.000 14.481
Ta As
24 8
Cartesian
3.499 1.222 4.312 Ta
3.467 1.165 13.166 Ta
0.834 0.006 12.010 Ta
0.919 -0.006 4.770 Ta
4.912 1.292 7.177 Ta
6.439 1.268 14.398 Ta
7.943 1.268 7.323 Ta
9.640 1.292 0.064 Ta
6.181 0.055 4.674 Ta
6.096 -0.055 11.915 Ta
3.551 -1.165 5.926 Ta
3.414 -1.222 11.553 Ta
11.053 1.222 2.928 Ta
10.916 1.165 8.555 Ta
8.371 0.055 2.566 Ta
8.287 -0.055 9.806 Ta
4.828 -1.292 14.417 Ta
6.524 -1.268 7.158 Ta
8.028 -1.268 0.083 Ta
9.555 -1.292 7.304 Ta
13.549 0.006 9.711 Ta
13.634 -0.006 2.470 Ta
11.001 -1.165 1.314 Ta
10.968 -1.222 10.169 Ta
1.637 0.071 2.261 As
1.553 -0.071 9.501 As
5.816 0.004 2.045 As
5.732 -0.004 9.286 As
8.736 0.004 5.195 As
8.651 -0.004 12.435 As
12.915 0.071 4.979 As
12.830 -0.071 12.220 As

No. 4
TaAs3 SCAN PBEsol geometry; magnetization = 0.00 μB per cell; mass density = 9.8 g/cm3; uncorrected energy = -31.452 eV per atom; SG = P4/mmm, No. 123; formation energy = 0.336 eV/atom
1.0
4.610 0.000 0.000
0.000 4.610 0.000
0.000 0.000 3.222
Ta As
1 3
Cartesian
0.000 0.000 0.000 Ta
0.000 2.305 1.611 As
2.305 0.000 1.611 As
2.305 2.305 0.000 As

No. 5
TaAs3 SCAN PBEsol geometry; magnetization = 0.00 μB per cell; mass density = 9.3 g/cm3; uncorrected energy = -31.546 eV per atom; SG = R-3m, No. 166; formation energy = 0.243 eV/atom
1.0
8.207 0.000 0.000
-4.103 7.107 0.000
0.000 0.000 3.733
Ta As
3 9
Cartesian
0.000 0.000 0.000 Ta
0.000 4.738 2.489 Ta
4.103 2.369 1.244 Ta
-2.052 3.554 0.000 As
0.000 2.369 1.244 As
-2.052 5.923 1.244 As
2.052 1.185 2.489 As
4.103 0.000 0.000 As
2.052 3.554 0.000 As
2.052 5.923 1.244 As
6.155 1.185 2.489 As
4.103 4.738 2.489 As

No. 6
Ta5As SCAN PBEsol geometry; magnetization = 0.00 μB per cell; mass density = 15.8 g/cm3; uncorrected energy = -58.954 eV per atom; SG = C2/m, No. 12; formation energy = -0.103 eV/atom
1.0
10.864 0.000 0.000
0.000 3.327 0.000
-1.390 0.000 5.707
Ta As
10 2
Cartesian
0.000 0.000 0.000 Ta
1.209 1.663 1.907 Ta
0.675 1.663 4.664 Ta
3.367 0.000 1.043 Ta
2.833 0.000 3.800 Ta
5.432 1.663 0.000 Ta
6.641 0.000 1.907 Ta
6.107 0.000 4.664 Ta
8.799 1.663 1.043 Ta
8.265 1.663 3.800 Ta
-0.695 0.000 2.854 As
4.737 1.663 2.854 As

No. 7
Ta3As SCAN PBEsol geometry; magnetization = 0.00 μB per cell; mass density = 15.2 g/cm3; uncorrected energy = -55.361 eV per atom; SG = P4_2/n, No. 86; formation energy = -0.376 eV/atom
1.0
10.256 0.000 0.000
0.000 10.256 0.000
0.000 0.000 5.122
Ta As
24 8
Cartesian
0.429 9.711 1.255 Ta
0.545 5.557 3.817 Ta
1.030 2.629 0.055 Ta
1.604 8.595 3.776 Ta
1.661 6.732 1.215 Ta
2.499 1.030 2.507 Ta
2.629 4.098 2.507 Ta
3.467 8.652 1.215 Ta
3.524 6.789 3.776 Ta
4.098 2.499 0.055 Ta
4.583 9.827 3.817 Ta
4.699 5.673 1.255 Ta
5.557 4.583 3.867 Ta
5.673 0.429 1.306 Ta
6.157 7.757 5.068 Ta
6.732 3.467 1.346 Ta
6.789 1.604 3.908 Ta
7.627 6.157 2.616 Ta
7.757 9.226 2.616 Ta
8.595 3.524 3.908 Ta
8.652 1.661 1.346 Ta
9.226 7.627 5.068 Ta
9.711 4.699 1.306 Ta
9.827 0.545 3.867 Ta
0.448 2.690 2.621 As
2.438 0.448 5.062 As
2.690 4.680 5.062 As
4.680 2.438 2.621 As
5.575 7.818 2.501 As
7.565 5.575 0.060 As
7.818 9.808 0.060 As
9.808 7.565 2.501 As

No. 8
Ta3As SCAN PBEsol geometry; magnetization = 0.00 μB per cell; mass density = 15.2 g/cm3; uncorrected energy = -54.873 eV per atom; SG = Fm-3m, No. 225; formation energy = 0.112 eV/atom
1.0
6.469 0.000 0.000
0.000 6.469 0.000
0.000 0.000 6.469
Ta As
12 4
Cartesian
0.000 0.000 0.000 Ta
0.000 3.234 3.234 Ta
1.617 1.617 1.617 Ta
1.617 1.617 4.852 Ta
1.617 4.852 1.617 Ta
1.617 4.852 4.852 Ta
3.234 0.000 3.234 Ta
3.234 3.234 0.000 Ta
4.852 1.617 1.617 Ta
4.852 1.617 4.852 Ta
4.852 4.852 1.617 Ta
4.852 4.852 4.852 Ta
0.000 0.000 3.234 As
0.000 3.234 0.000 As
3.234 0.000 0.000 As
3.234 3.234 3.234 As

No. 9
TaAs3 SCAN PBEsol geometry; magnetization = 0.00 μB per cell; mass density = 9.1 g/cm3; uncorrected energy = -31.667 eV per atom; SG = R-3m, No. 166; formation energy = 0.122 eV/atom
1.0
3.181 0.000 0.000
-1.590 2.755 0.000
0.000 0.000 25.218
Ta As
3 9
Cartesian
0.000 0.000 0.000 Ta
0.000 1.836 16.812 Ta
1.590 0.918 8.406 Ta
0.000 0.000 6.547 As
0.000 0.000 12.609 As
0.000 0.000 18.671 As
0.000 1.836 4.203 As
0.000 1.836 10.265 As
0.000 1.836 23.359 As
1.590 0.918 1.859 As
1.590 0.918 14.953 As
1.590 0.918 21.015 As

No. 10
Ta5As SCAN PBEsol geometry; magnetization = 0.00 μB per cell; mass density = 15.9 g/cm3; uncorrected energy = -58.988 eV per atom; SG = Cmmm, No. 65; formation energy = -0.136 eV/atom
1.0
4.518 0.000 0.000
0.000 13.357 0.000
0.000 0.000 3.398
Ta As
10 2
Cartesian
0.000 0.000 0.000 Ta
0.000 2.191 1.699 Ta
0.000 4.483 0.000 Ta
0.000 8.874 0.000 Ta
0.000 11.166 1.699 Ta
2.259 2.196 0.000 Ta
2.259 4.487 1.699 Ta
2.259 6.678 0.000 Ta
2.259 8.870 1.699 Ta
2.259 11.161 0.000 Ta
0.000 6.678 1.699 As
2.259 0.000 1.699 As

No. 11
TaAs3 SCAN PBEsol geometry; magnetization = 0.00 μB per cell; mass density = 9.8 g/cm3; uncorrected energy = -31.472 eV per atom; SG = I4/mmm, No. 139; formation energy = 0.317 eV/atom
1.0
3.928 0.000 0.000
0.000 3.928 0.000
0.000 0.000 8.928
Ta As
2 6
Cartesian
0.000 0.000 0.000 Ta
1.964 1.964 4.464 Ta
0.000 0.000 4.464 As
0.000 1.964 2.232 As
0.000 1.964 6.696 As
1.964 0.000 2.232 As
1.964 0.000 6.696 As
1.964 1.964 0.000 As

No. 12
Ta3As SCAN PBEsol geometry; magnetization = 0.00 μB per cell; mass density = 15.0 g/cm3; uncorrected energy = -55.164 eV per atom; SG = Cmmm, No. 65; formation energy = -0.179 eV/atom
1.0
3.393 0.000 0.000
0.000 4.792 0.000
0.000 0.000 8.429
Ta As
6 2
Cartesian
0.000 0.000 0.000 Ta
0.000 2.396 2.234 Ta
0.000 2.396 6.195 Ta
1.696 0.000 2.234 Ta
1.696 0.000 6.195 Ta
1.696 2.396 0.000 Ta
0.000 0.000 4.215 As
1.696 2.396 4.215 As